Run i
Here is a relaxed structure of BeCoMoAu from OQMD via LeMat-Bulk. Energies are from PBE.

M_tot   0.13 μB/f.u.

Cell: 5.990 5.990 5.990 Å, 90.00 90.00 90.00°
Space group F-43m (No. 216)
Inequivalent atoms, fractional coordinates:
Be 0.000 0.000 0.000
Co 0.250 0.250 0.250
Mo 0.250 0.250 0.750
Au 0.000 0.000 0.500

---

Run ii
Here is a relaxed structure of BeCoMoAu from OQMD via LeMat-Bulk. Energies are from PBE.

M_tot   0.00 μB/f.u.

Cell: 5.916 5.916 5.916 Å, 90.00 90.00 90.00°
Space group F-43m (No. 216)
Inequivalent atoms, fractional coordinates:
Be 0.000 0.000 0.000
Co 0.000 0.000 0.500
Mo 0.250 0.250 0.750
Au 0.250 0.250 0.250

---

Which structure is the most stable? The one labeled run ii.

---

Run i
Here is a relaxed structure of BeZnCoAu from OQMD via LeMat-Bulk. Energies are from PBE.

M_tot   0.63 μB/f.u.

Cell: 5.888 5.888 5.888 Å, 90.00 90.00 90.00°
Space group F-43m (No. 216)
Inequivalent atoms, fractional coordinates:
Be 0.000 0.000 0.000
Zn 0.250 0.250 0.250
Co 0.000 0.000 0.500
Au 0.250 0.250 0.750

---

Run ii
Here is a relaxed structure of BeZnCoAu from OQMD via LeMat-Bulk. Energies are from PBE.

M_tot   0.54 μB/f.u.

Cell: 5.851 5.851 5.851 Å, 90.00 90.00 90.00°
Space group F-43m (No. 216)
Inequivalent atoms, fractional coordinates:
Be 0.000 0.000 0.000
Zn 0.000 0.000 0.500
Co 0.250 0.250 0.750
Au 0.250 0.250 0.250

---

Which structure is the most stable? The one labeled run ii.

---

Run i
Here is a relaxed structure of CsBeGeAu from OQMD via LeMat-Bulk. Energies are from PBE.

Cell: 7.355 7.355 7.355 Å, 90.00 90.00 90.00°
Space group F-43m (No. 216)
Inequivalent atoms, fractional coordinates:
Cs 0.000 0.000 0.000
Be 0.000 0.000 0.500
Ge 0.250 0.250 0.250
Au 0.250 0.250 0.750

---

Run ii
Here is a relaxed structure of CsBeGeAu from OQMD via LeMat-Bulk. Energies are from PBE.

Cell: 7.459 7.459 7.459 Å, 90.00 90.00 90.00°
Space group F-43m (No. 216)
Inequivalent atoms, fractional coordinates:
Cs 0.000 0.000 0.000
Be 0.250 0.250 0.250
Ge 0.000 0.000 0.500
Au 0.250 0.250 0.750

---

Which structure is the most stable? The one labeled run ii.

---

Run i
Here is a relaxed structure of BeCuAu from OQMD via LeMat-Bulk. Energies are from PBE.

Cell: 5.485 5.485 5.485 Å, 90.00 90.00 90.00°
Space group F-43m (No. 216)
Inequivalent atoms, fractional coordinates:
Be 0.000 0.000 0.000
Cu 0.250 0.250 0.250
Au 0.250 0.250 0.750

---

Run ii
Here is a relaxed structure of BeCuAu from OQMD via LeMat-Bulk. Energies are from PBE.

Cell: 4.975 3.761 8.061 Å, 90.00 90.00 90.00°
Space group Pnma (No. 62)
Inequivalent atoms, fractional coordinates:
Be 0.245 0.250 0.145
Cu 0.005 0.250 0.752
Au 0.246 0.250 0.450

---

Which structure is the most stable? The one labeled run ii.

---

Run i
Here is a relaxed structure of BeCuSiAu from OQMD via LeMat-Bulk. Energies are from PBE.

Cell: 6.007 6.007 6.007 Å, 90.00 90.00 90.00°
Space group F-43m (No. 216)
Inequivalent atoms, fractional coordinates:
Be 0.000 0.000 0.000
Cu 0.000 0.000 0.500
Si 0.250 0.250 0.250
Au 0.250 0.250 0.750

---

Run ii
Here is a relaxed structure of BeCuSiAu from OQMD via LeMat-Bulk. Energies are from PBE.

Cell: 5.956 5.956 5.956 Å, 90.00 90.00 90.00°
Space group F-43m (No. 216)
Inequivalent atoms, fractional coordinates:
Be 0.000 0.000 0.000
Cu 0.250 0.250 0.750
Si 0.000 0.000 0.500
Au 0.250 0.250 0.250

---

Which structure is the most stable? The one labeled run ii.

---

Run i
Here is a relaxed structure of DyBeAu from OQMD via LeMat-Bulk. Energies are from PBE.

M_tot   0.09 μB/f.u.

Cell: 6.193 6.193 6.193 Å, 90.00 90.00 90.00°
Space group F-43m (No. 216)
Inequivalent atoms, fractional coordinates:
Dy 0.000 0.000 0.000
Be 0.250 0.250 0.750
Au 0.000 0.000 0.500

---

Run ii
Here is a relaxed structure of DyBeAu from OQMD via LeMat-Bulk. Energies are from PBE.

M_tot   0.00 μB/f.u.

Cell: 6.574 6.574 6.574 Å, 90.00 90.00 90.00°
Space group F-43m (No. 216)
Inequivalent atoms, fractional coordinates:
Dy 0.000 0.000 0.000
Be 0.250 0.250 0.250
Au 0.250 0.250 0.750

---

Which structure is the most stable? The one labeled run i.

---

Run i
Here is a relaxed structure of BeFeSiAu from OQMD via LeMat-Bulk. Energies are from PBE.

M_tot   1.73 μB/f.u.

Cell: 5.894 5.894 5.894 Å, 90.00 90.00 90.00°
Space group F-43m (No. 216)
Inequivalent atoms, fractional coordinates:
Be 0.000 0.000 0.000
Fe 0.000 0.000 0.500
Si 0.250 0.250 0.250
Au 0.250 0.250 0.750

---

Run ii
Here is a relaxed structure of BeFeSiAu from OQMD via LeMat-Bulk. Energies are from PBE.

M_tot   1.45 μB/f.u.

Cell: 5.801 5.801 5.801 Å, 90.00 90.00 90.00°
Space group F-43m (No. 216)
Inequivalent atoms, fractional coordinates:
Be 0.000 0.000 0.000
Fe 0.250 0.250 0.750
Si 0.000 0.000 0.500
Au 0.250 0.250 0.250

---

Which structure is the most stable? The one labeled run ii.